i) VASP calculation (PBE-GGA) on crystalline Tl13In2 at its relaxed geometry.

Cell: 9.555 9.555 9.555 Å, 54.26 54.26 54.26°
Fractional coordinates of all 15 atoms:
Tl 0.000 0.000 0.000
Tl 0.107 0.107 0.498
Tl 0.107 0.498 0.107
Tl 0.251 0.251 0.630
Tl 0.251 0.630 0.251
Tl 0.370 0.749 0.749
Tl 0.498 0.107 0.107
Tl 0.502 0.893 0.893
Tl 0.630 0.251 0.251
Tl 0.749 0.370 0.749
Tl 0.749 0.749 0.370
Tl 0.893 0.502 0.893
Tl 0.893 0.893 0.502
In 0.131 0.131 0.131
In 0.869 0.869 0.869

Summary:
N(E_F) = 0.62 states/eV per atom
Total moment = 0.0000 μB/atom

ii) VASP calculation (PBE-GGA) on crystalline Tl13In2 at its relaxed geometry.

Cell: 6.520 8.476 9.199 Å, 64.90 84.35 83.73°
Fractional coordinates of all 15 atoms:
Tl 0.000 0.000 0.000
Tl 0.138 0.465 0.785
Tl 0.195 0.208 0.194
Tl 0.267 0.931 0.594
Tl 0.328 0.666 0.995
Tl 0.385 0.406 0.401
Tl 0.475 0.131 0.798
Tl 0.525 0.869 0.202
Tl 0.615 0.594 0.599
Tl 0.672 0.334 0.005
Tl 0.733 0.069 0.406
Tl 0.805 0.792 0.806
Tl 0.862 0.535 0.215
In 0.063 0.742 0.398
In 0.937 0.258 0.602

Summary:
N(E_F) = 0.40 states/eV per atom
Total moment = 0.0000 μB/atom

Which structure is the most stable? The one labeled ii).

i) VASP calculation (PBE-GGA) on crystalline Tl2In5 at its relaxed geometry.

Cell: 8.248 8.248 8.248 Å, 38.85 38.85 38.85°
Fractional coordinates of all 7 atoms:
Tl 0.142 0.142 0.142
Tl 0.858 0.858 0.858
In 0.000 0.000 0.000
In 0.287 0.287 0.287
In 0.427 0.427 0.427
In 0.573 0.573 0.573
In 0.713 0.713 0.713

Summary:
N(E_F) = 0.31 states/eV per atom
Total moment = 0.0000 μB/atom

ii) VASP calculation (PBE-GGA) on crystalline Tl2In5 at its relaxed geometry.

Cell: 8.492 8.492 8.662 Å, 95.88 95.88 39.88°
Fractional coordinates of all 14 atoms:
Tl 0.105 0.749 0.893
Tl 0.251 0.895 0.607
Tl 0.749 0.105 0.393
Tl 0.895 0.251 0.107
In 0.032 0.396 0.821
In 0.177 0.529 0.534
In 0.326 0.674 0.250
In 0.396 0.032 0.321
In 0.471 0.823 0.966
In 0.529 0.177 0.034
In 0.604 0.968 0.679
In 0.674 0.326 0.750
In 0.823 0.471 0.466
In 0.968 0.604 0.179

Summary:
N(E_F) = 0.36 states/eV per atom
Total moment = 0.0000 μB/atom

Which structure is the most stable? The one labeled i).

i) VASP calculation (PBE-GGA) on crystalline Tm6TlIn5 at its relaxed geometry.

Cell: 6.282 6.282 9.877 Å, 95.93 95.93 119.57°
Fractional coordinates of all 12 atoms:
Tm 0.081 0.416 0.749
Tm 0.248 0.248 0.249
Tm 0.416 0.081 0.749
Tm 0.584 0.919 0.251
Tm 0.752 0.752 0.751
Tm 0.919 0.584 0.251
Tl 0.500 0.500 0.000
In 0.000 0.000 0.500
In 0.168 0.832 0.000
In 0.335 0.665 0.500
In 0.665 0.335 0.500
In 0.832 0.168 0.000

Summary:
N(E_F) = 0.39 states/eV per atom
Total moment = 0.0000 μB/atom

ii) VASP calculation (PBE-GGA) on crystalline Tm6TlIn5 at its relaxed geometry.

Cell: 8.361 8.361 7.385 Å, 90.00 90.00 143.10°
Fractional coordinates of all 12 atoms:
Tm 0.000 0.000 0.249
Tm 0.000 0.000 0.751
Tm 0.333 0.667 0.249
Tm 0.333 0.667 0.751
Tm 0.667 0.333 0.249
Tm 0.667 0.333 0.751
Tl 0.500 0.500 0.500
In 0.166 0.834 0.000
In 0.167 0.833 0.500
In 0.500 0.500 0.000
In 0.833 0.167 0.500
In 0.834 0.166 0.000

Summary:
N(E_F) = 0.53 states/eV per atom
Total moment = 0.0000 μB/atom

Which structure is the most stable? The one labeled ii).

i) VASP calculation (PBE-GGA) on crystalline Tm4TlIn3 at its relaxed geometry.

Cell: 4.035 4.598 11.662 Å, 90.00 90.00 90.00°
Fractional coordinates of all 8 atoms:
Tm 0.000 0.000 0.000
Tm 0.000 0.500 0.295
Tm 0.500 0.000 0.497
Tm 0.500 0.500 0.794
Tl 0.000 0.000 0.733
In 0.000 0.500 0.563
In 0.500 0.000 0.228
In 0.500 0.500 0.064

Summary:
N(E_F) = 0.99 states/eV per atom
Total moment = 0.0000 μB/atom

ii) VASP calculation (PBE-GGA) on crystalline Tm4TlIn3 at its relaxed geometry.

Cell: 3.523 3.523 16.671 Å, 90.00 90.00 90.00°
Fractional coordinates of all 8 atoms:
Tm 0.000 0.000 0.125
Tm 0.000 0.000 0.374
Tm 0.000 0.000 0.626
Tm 0.000 0.000 0.875
Tl 0.500 0.500 0.500
In 0.500 0.500 0.000
In 0.500 0.500 0.250
In 0.500 0.500 0.750

Summary:
N(E_F) = 0.73 states/eV per atom
Total moment = 0.0088 μB/atom

Which structure is the most stable? The one labeled ii).